## 1
! NaHf3Mn (GGA-PBE, optimized geometry); values from VASP
! Calculated volume (Å³ per cell): 117.5
&SYSTEM
  ibrav = 0, nat = 5, ntyp = 3
/
ATOMIC_SPECIES
Na 22.99 Na.upf
Mn 54.94 Mn.upf
Hf 178.49 Hf.upf
ATOMIC_POSITIONS crystal
Na 0.500 0.500 0.500
Mn 0.000 0.000 0.000
Hf 0.000 0.500 0.000
Hf 0.000 0.000 0.500
Hf 0.500 0.000 0.000
CELL_PARAMETERS angstrom
4.898 0.000 0.000
0.000 4.898 0.000
0.000 0.000 4.898

---

## 2
! NaHf3Mn (GGA-PBE, optimized geometry); values from VASP
! Calculated volume (Å³ per cell): 113.6
&SYSTEM
  ibrav = 0, nat = 5, ntyp = 3
/
ATOMIC_SPECIES
Na 22.99 Na.upf
Mn 54.94 Mn.upf
Hf 178.49 Hf.upf
ATOMIC_POSITIONS crystal
Na 0.000 0.000 0.000
Mn 0.500 0.500 0.500
Hf 0.000 0.500 0.000
Hf 0.000 0.000 0.500
Hf 0.500 0.000 0.000
CELL_PARAMETERS angstrom
-1.539 1.661 -4.280
-2.070 -4.281 -0.917
-4.098 1.538 2.071

---

The structure shown above that is least stable: 2.